# 1
A relaxed CsBe3Tc crystal, computed with PBE.

Cell: 4.670 4.670 4.670 Å, 90.00 90.00 90.00°
Atoms (fractional coordinates):
Cs1 0.000 0.000 0.000
Be1 0.000 0.500 0.500
Be2 0.500 0.000 0.500
Be3 0.500 0.500 0.000
Tc1 0.500 0.500 0.500

energy above the most stable polymorph in this dataset: 0 meV/atom
volume: 101.9 Å³ per cell
formation enthalpy at 0 K: 1.09 eV per atom
SG: Pm-3m, No. 221

***

# 2
A relaxed SrNbRe2 crystal, computed with PBE.

Cell: 4.731 4.731 4.731 Å, 60.00 60.00 60.00°
Atoms (fractional coordinates):
Sr1 0.000 0.000 0.000
Nb1 0.500 0.500 0.500
Re1 0.250 0.250 0.250
Re2 0.750 0.750 0.750

energy above the most stable polymorph in this dataset: 0 meV/atom
volume: 74.9 Å³ per cell
formation enthalpy at 0 K: 0.97 eV per atom
SG: Fm-3m, No. 225

***

# 3
A relaxed NaNd2Dy crystal, computed with PBE.

Cell: 3.551 3.551 10.968 Å, 90.00 90.00 90.00°
Atoms (fractional coordinates):
Na1 0.000 0.000 0.000
Nd1 0.500 0.500 0.268
Nd2 0.500 0.500 0.732
Dy1 0.000 0.000 0.500

energy above the most stable polymorph in this dataset: 0 meV/atom
volume: 138.3 Å³ per cell
formation enthalpy at 0 K: 0.10 eV per atom
SG: P4/mmm, No. 123

***

# 4
A relaxed Nd7Tm2Th2 crystal, computed with PBE.

Cell: 8.121 8.121 6.143 Å, 105.36 105.36 89.98°
Atoms (fractional coordinates):
Nd1 0.000 0.000 0.000
Nd2 0.051 0.587 0.826
Nd3 0.230 0.230 0.595
Nd4 0.413 0.949 0.174
Nd5 0.587 0.051 0.826
Nd6 0.770 0.770 0.405
Nd7 0.949 0.413 0.174
Tm1 0.224 0.776 0.500
Tm2 0.776 0.224 0.500
Th1 0.429 0.429 0.198
Th2 0.571 0.571 0.802

energy above the most stable polymorph in this dataset: 0 meV/atom
volume: 375.6 Å³ per cell
formation enthalpy at 0 K: 0.17 eV per atom
SG: C2/m, No. 12

***

# 5
A relaxed Tb2CeZr crystal, computed with PBE.

Cell: 11.498 11.498 11.498 Å, 17.08 17.08 17.08°
Atoms (fractional coordinates):
Tb1 0.000 0.000 0.000
Tb2 0.176 0.176 0.176
Ce1 0.754 0.754 0.754
Zr1 0.588 0.588 0.588

energy above the most stable polymorph in this dataset: 0 meV/atom
volume: 114.4 Å³ per cell
formation enthalpy at 0 K: 0.12 eV per atom
SG: R3m, No. 160

***

Copy entry 3 word for word.
A relaxed NaNd2Dy crystal, computed with PBE.

Cell: 3.551 3.551 10.968 Å, 90.00 90.00 90.00°
Atoms (fractional coordinates):
Na1 0.000 0.000 0.000
Nd1 0.500 0.500 0.268
Nd2 0.500 0.500 0.732
Dy1 0.000 0.000 0.500

energy above the most stable polymorph in this dataset: 0 meV/atom
volume: 138.3 Å³ per cell
formation enthalpy at 0 K: 0.10 eV per atom
SG: P4/mmm, No. 123

***

> Which of these has the lowest volume?

SrNbRe2

***

What did the first record say?
A relaxed CsBe3Tc crystal, computed with PBE.

Cell: 4.670 4.670 4.670 Å, 90.00 90.00 90.00°
Atoms (fractional coordinates):
Cs1 0.000 0.000 0.000
Be1 0.000 0.500 0.500
Be2 0.500 0.000 0.500
Be3 0.500 0.500 0.000
Tc1 0.500 0.500 0.500

energy above the most stable polymorph in this dataset: 0 meV/atom
volume: 101.9 Å³ per cell
formation enthalpy at 0 K: 1.09 eV per atom
SG: Pm-3m, No. 221

***

> Look up the formation enthalpy at 0 K of the fourth one.

0.17 eV per atom